The following is a PBE with a Hubbard U calculation of Li5Ti2Mn3O10 after structural relaxation, from the Alexandria database.

```
Li5Ti2Mn3O10
1.0
-4.959 -2.014 1.455
3.702 0.034 4.321
6.465 10.242 5.121
O Li Ti Mn
10 5 2 3
direct
0.012 0.676 0.460
0.464 0.670 0.184
0.589 0.433 0.582
0.885 0.242 0.351
0.507 0.112 0.457
0.537 0.677 0.746
0.127 0.122 0.141
0.725 0.488 0.047
0.706 0.141 0.875
0.139 0.105 0.655
0.460 0.815 0.834
0.288 0.099 0.542
0.746 0.817 0.477
0.496 0.389 0.142
0.794 0.041 0.668
0.401 0.429 0.653
0.743 0.414 0.384
0.050 0.812 0.090
0.770 0.357 0.955
0.052 0.102 0.285
```

Properties
polymorph energy (0 for the lowest one)	114	meV/atom
total magnetic moment	3.94	μB per cell
N(E_F)	0.00	states/eV/f.u.